No. 1
BeCdW2 (PBE-GGA, optimized geometry); symmetry = No. 10; calculated total energy = -28.365 eV for the cell shown; ΔE to the lowest computed polymorph = 0.195 eV per atom; ΔE_f = 0.55 eV per atom
1.0
2.712 0.000 0.000
0.000 4.296 0.000
-0.929 0.000 5.346
Be Cd W
1 1 2
Cartesian
0.000 0.000 0.000 Be
-0.465 0.000 2.673 Cd
1.023 2.148 1.206 W
0.760 2.148 4.141 W



No. 2
Pm6Te3PbSe2 (PBE-GGA, optimized geometry); symmetry = No. 12; calculated total energy = -65.718 eV for the cell shown
1.0
9.639 -2.187 0.000
9.639 2.187 0.000
-2.186 0.000 8.570
Pm Te Pb Se
6 3 1 2
Cartesian
-0.390 0.000 2.155 Pm
5.333 0.000 3.702 Pm
4.457 0.000 7.670 Pm
12.635 0.000 0.900 Pm
11.759 0.000 4.868 Pm
17.481 0.000 6.415 Pm
1.342 0.000 7.129 Te
8.546 0.000 4.285 Te
15.750 0.000 1.441 Te
9.639 0.000 0.000 Pb
2.498 0.000 2.868 Se
14.594 0.000 5.702 Se



No. 3
La3CuSe (PBE-GGA, optimized geometry); symmetry = No. 221; calculated total energy = -23.766 eV for the cell shown; ΔE to the lowest computed polymorph = 0.000 eV per atom
1.0
5.646 0.000 0.000
0.000 5.646 0.000
0.000 0.000 5.646
La Cu Se
3 1 1
Cartesian
0.000 0.000 2.823 La
0.000 2.823 0.000 La
2.823 0.000 0.000 La
2.823 2.823 2.823 Cu
0.000 0.000 0.000 Se



No. 4
Ir2RhSe6 (PBE-GGA, optimized geometry); symmetry = No. 164; calculated total energy = -145.730 eV for the cell shown; ΔE to the lowest computed polymorph = 0.000 eV per atom
1.0
11.110 0.000 0.000
-5.555 9.621 0.000
0.000 0.000 5.085
Ir Rh Se
6 3 18
Cartesian
-1.867 3.234 0.000 Ir
-3.688 6.387 0.000 Ir
3.734 0.000 0.000 Ir
1.867 3.234 0.000 Ir
7.375 0.000 0.000 Ir
3.688 6.387 0.000 Ir
0.000 0.000 0.000 Rh
0.000 6.414 2.599 Rh
5.555 3.207 2.486 Rh
-1.989 5.266 1.401 Se
0.000 2.166 1.299 Se
-3.679 8.539 1.299 Se
0.000 4.102 3.702 Se
-2.003 7.571 3.702 Se
1.876 1.083 3.786 Se
3.552 2.051 1.383 Se
1.989 5.266 1.401 Se
0.000 8.711 1.401 Se
5.555 0.911 3.684 Se
3.566 4.355 3.684 Se
2.003 7.571 3.702 Se
3.679 8.539 1.299 Se
7.558 2.051 1.383 Se
5.555 5.520 1.383 Se
9.234 1.083 3.786 Se
5.555 7.456 3.786 Se
7.544 4.355 3.684 Se



No. 5
MnGaSiRhSe (PBE-GGA, optimized geometry); symmetry = No. 1; calculated total energy = -28.924 eV for the cell shown; ΔE to the lowest computed polymorph = 0.185 eV per atom
1.0
2.957 0.000 0.000
1.474 4.416 0.000
1.461 1.276 5.933
Mn Ga Si Rh Se
1 1 1 1 1
Cartesian
0.000 0.000 0.000 Mn
2.939 3.203 5.490 Ga
2.952 3.513 1.651 Si
1.474 1.605 2.047 Rh
4.411 5.074 4.117 Se



No. 6
Ta2CrTcH (PBE-GGA, optimized geometry); symmetry = No. 123; calculated total energy = -47.952 eV for the cell shown
1.0
4.459 0.000 0.000
0.000 4.459 0.000
0.000 0.000 3.244
Ta Cr Tc H
2 1 1 1
Cartesian
0.000 2.230 0.000 Ta
2.230 0.000 0.000 Ta
0.000 0.000 1.622 Cr
2.230 2.230 1.622 Tc
0.000 0.000 0.000 H



Repeat the third record exactly.
La3CuSe (PBE-GGA, optimized geometry); symmetry = No. 221; calculated total energy = -23.766 eV for the cell shown; ΔE to the lowest computed polymorph = 0.000 eV per atom
1.0
5.646 0.000 0.000
0.000 5.646 0.000
0.000 0.000 5.646
La Cu Se
3 1 1
Cartesian
0.000 0.000 2.823 La
0.000 2.823 0.000 La
2.823 0.000 0.000 La
2.823 2.823 2.823 Cu
0.000 0.000 0.000 Se



Question: Which of these has the highest calculated total energy?
Answer: La3CuSe



Question: Among the records above, which one has the highest calculated total energy?
Answer: La3CuSe